(1)
An optimized crystal structure of Si2PtI. Source: Alexandria, functional PBE-GGA.

Space group   No. 225
Total magnetic moment   0.00 μB/f.u.
VASP energy   -3.867 eV per atom
ΔE to the lowest computed polymorph   65.8 kJ per mole of atoms
Crystal system   cubic

a b c (Å): 4.782 4.782 4.782
angles (deg): 60.00 60.00 60.00
Fractional coordinates of all 4 atoms:
Si  0.750  0.750  0.750
Pt  0.500  0.500  0.500
Si  0.250  0.250  0.250
I  0.000  0.000  0.000

***

(2)
An optimized crystal structure of AcCdGaPd3. Source: Alexandria, functional PBE-GGA.

Space group   No. 63
Total magnetic moment   0.00 μB/f.u.
VASP energy   -4.441 eV per atom
Energy of formation   -503 meV/atom
Crystal system   orthorhombic

a b c (Å): 5.961 7.199 7.254
angles (deg): 119.75 90.00 90.00
Fractional coordinates of all 12 atoms:
Pd  0.000  0.305  0.000
Pd  0.250  0.185  0.369
Ga  0.250  0.381  0.761
Cd  0.250  0.964  0.928
Pd  0.000  0.695  0.000
Ac  0.250  0.703  0.406
Ga  0.750  0.619  0.239
Ac  0.750  0.297  0.594
Cd  0.750  0.036  0.072
Pd  0.500  0.305  0.000
Pd  0.500  0.695  0.000
Pd  0.750  0.815  0.631

***

(3)
An optimized crystal structure of TbTmGaAg. Source: Alexandria, functional PBE-GGA.

Space group   No. 216
Total magnetic moment   0.00 μB/f.u.
VASP energy   -4.207 eV per atom
Energy of formation   -462 meV/atom
Crystal system   cubic

a b c (Å): 5.089 5.089 5.089
angles (deg): 60.00 60.00 60.00
Fractional coordinates of all 4 atoms:
Ag  0.250  0.250  0.250
Tb  0.000  0.000  0.000
Ga  0.750  0.750  0.750
Tm  0.500  0.500  0.500

***

(4)
An optimized crystal structure of Al2FeSbIr. Source: Alexandria, functional PBE-GGA.

Space group   No. 123
Total magnetic moment   0.00 μB/f.u.
VASP energy   -5.282 eV per atom
Crystal system   tetragonal

a b c (Å): 4.417 4.637 4.417
angles (deg): 90.00 90.00 90.00
Fractional coordinates of all 5 atoms:
Ir  0.500  0.500  0.500
Al  0.000  0.000  0.500
Sb  0.000  0.500  0.000
Fe  0.000  0.000  0.000
Al  0.500  0.000  0.000

***

Which formula does entry 4 have? Al2FeSbIr